VASP calculation (PBE) on a relaxed structure of Sm2TmPaAs5.

Cell lengths 5.0813, 5.0813, 10.8247 Å; angles 90.00, 90.00, 90.00 degrees
Space group P4/mmm (No. 123)
Unique sites:
Sm (0.0000, 0.0000, 0.2286) (multiplicity 2)
Tm (0.5000, 0.5000, 0.5000) (multiplicity 1)
Pa (0.5000, 0.5000, 0.0000) (multiplicity 1)
As (0.0000, 0.0000, 0.5000) (multiplicity 1)
As (0.0000, 0.5000, 0.0000) (multiplicity 2)
As (0.5000, 0.5000, 0.2551) (multiplicity 2)

Values from the calculation:
Final energy: -5.734 eV per atom
DOS(E_F): 4.7 states/eV per cell
ΔH_f (0 K): -550.1 meV/atom

VASP calculation (PBE) on a relaxed structure of BaCuF5.

Cell lengths 4.4860, 5.5483, 8.0640 Å; angles 90.00, 90.00, 90.00 degrees
Space group Immm (No. 71)
Unique sites:
Ba (0.0000, 0.0000, 0.0000) (multiplicity 2)
Cu (0.0000, 0.0000, 0.5000) (multiplicity 2)
F (0.0000, 0.2409, 0.3452) (multiplicity 8)
F (0.0000, 0.5000, 0.0000) (multiplicity 2)

Values from the calculation:
Relative energy among the computed polymorphs: 0 meV/atom
Final energy: -4.652 eV per atom
DOS(E_F): 6.9 states/eV per cell